Compound: Ge2WF
Source: the Alexandria database
Functional: GGA+U
Structure: optimized geometry

a = 6.634 Å, b = 6.634 Å, c = 6.011 Å
α = 90.00°, β = 90.00°, γ = 90.00°
Space group I-42d (No. 122)
Symmetry-distinct sites (fractional):
Ge1 0.197 0.750 0.125 [8 per cell]
W1 0.000 0.000 0.500 [4 per cell]
F1 0.000 0.000 0.000 [4 per cell]

Output
The density of states at the Fermi level is 2.1 states/eV/f.u. For the electronic total energy, the calculation gives -4.226 eV per atom.